Record 1
Computed, not measured: an optimized crystal structure of Ba8Bi5Pd at the PBE level of DFT.

Cell: 10.6276 10.6276 10.6831 Å, 90.00 90.00 90.00°
Space group I-4 (No. 82)
One atom of each set of equivalent atoms:
Ba 0.0662 0.3109 0.0493 [8 per cell]
Ba 0.0741 0.1782 0.6924 [8 per cell]
Bi 0.0000 0.5000 0.7500 [2 per cell]
Bi 0.1258 0.2494 0.3714 [8 per cell]
Pd 0.0000 0.0000 0.0000 [2 per cell]

The calculation puts the formation energy at -81 kJ/mol of atoms.

---

Record 2
Computed, not measured: an optimized crystal structure of ReCl at the PBE level of DFT.

Cell: 2.7746 5.1766 4.4268 Å, 90.00 90.00 90.00°
Space group Cmmm (No. 65)
One atom of each set of equivalent atoms:
Re 0.0000 0.0000 0.0000 [2 per cell]
Cl 0.0000 0.5000 0.5000 [2 per cell]

The formation energy without anion corrections is 1.165 eV per atom.

---

Record 3
Computed, not measured: an optimized crystal structure of LaCePt2 at the PBE level of DFT.

Cell: 5.9210 4.4726 7.8412 Å, 90.00 109.16 90.00°
Space group P2_1/m (No. 11)
One atom of each set of equivalent atoms:
La 0.2281 0.2500 0.4313 [2 per cell]
Ce 0.2298 0.2500 0.9336 [2 per cell]
Pt 0.3046 0.7500 0.1901 [2 per cell]
Pt 0.3181 0.7500 0.7162 [2 per cell]

The calculation puts the formation energy at -110 kJ/mol of atoms.

---

Record 4
Computed, not measured: an optimized crystal structure of Pr2Al2Pd at the PBE level of DFT.

Cell: 10.8650 4.6822 10.6572 Å, 90.00 117.46 90.00°
Space group C2/m (No. 12)
One atom of each set of equivalent atoms:
Pr 0.0820 0.0000 0.3920 [4 per cell]
Pr 0.1708 0.5000 0.1826 [4 per cell]
Al 0.0941 0.0000 0.9463 [4 per cell]
Al 0.1237 0.5000 0.6201 [4 per cell]
Pd 0.1412 0.5000 0.8690 [4 per cell]

The calculation puts the formation energy at -56 kJ/mol of atoms.

---

Record 5
Computed, not measured: an optimized crystal structure of CeNd3Sm6Tm2 at the PBE level of DFT.

Cell: 6.2572 10.8382 11.9933 Å, 90.00 100.05 90.00°
Space group C2/m (No. 12)
One atom of each set of equivalent atoms:
Ce 0.0000 0.0000 0.0000 [2 per cell]
Nd 0.0000 0.1673 0.5000 [4 per cell]
Nd 0.0000 0.5000 0.5000 [2 per cell]
Sm 0.2476 0.1658 0.2451 [8 per cell]
Sm 0.2499 0.0000 0.7547 [4 per cell]
Tm 0.0000 0.3334 0.0000 [4 per cell]

The calculation puts the formation energy at 4 kJ/mol of atoms.

---

Record 6
Computed, not measured: an optimized crystal structure of Nd2GaPd6 at the PBE level of DFT.

Cell: 9.9397 5.7740 6.1423 Å, 90.00 104.14 90.00°
Space group C2/m (No. 12)
One atom of each set of equivalent atoms:
Nd 0.1423 0.0000 0.3347 [4 per cell]
Ga 0.0000 0.5000 0.5000 [2 per cell]
Pd 0.1240 0.5000 0.1941 [4 per cell]
Pd 0.1324 0.2403 0.8139 [8 per cell]

The calculation puts the formation energy at -75 kJ/mol of atoms.

---

Record 7
Computed, not measured: an optimized crystal structure of Ac2La3PmBi6 at the PBE level of DFT.

Cell: 20.6784 4.7496 9.4947 Å, 90.00 103.27 90.00°
Space group C2/m (No. 12)
One atom of each set of equivalent atoms:
Ac 0.1652 0.0000 0.3315 [4 per cell]
La 0.0000 0.5000 0.5000 [2 per cell]
La 0.1677 0.0000 0.8348 [4 per cell]
Pm 0.0000 0.5000 0.0000 [2 per cell]
Bi 0.0033 0.0000 0.7560 [4 per cell]
Bi 0.1645 0.5000 0.0750 [4 per cell]
Bi 0.1645 0.5000 0.5895 [4 per cell]

The calculation puts the formation energy at -97 kJ/mol of atoms.

---

Record 8
Computed, not measured: an optimized crystal structure of ReHgAs2 at the PBE level of DFT.

Cell: 3.2322 3.2322 7.4491 Å, 90.00 90.00 90.00°
Space group P4mm (No. 99)
One atom of each set of equivalent atoms:
Re 0.0000 0.0000 0.0000 [1 per cell]
Hg 0.5000 0.5000 0.7227 [1 per cell]
As 0.0000 0.0000 0.3648 [1 per cell]
As 0.5000 0.5000 0.1449 [1 per cell]

The calculation puts the formation energy at 47 kJ/mol of atoms.

---

Calculated total moment, 0.0 0.3 0.6 0.0 1.3 0.0 0.0 0.0 μB per formula unit (same order as the records).
Calculated DOS at the Fermi energy, 25.8 5.0 13.7 19.7 41.9 5.9 3.5 0.9 states/eV per cell (same order as the records).